! Fe2TcWO PBE with a Hubbard U relaxed; values from VASP
&SYSTEM
  ibrav = 0, nat = 5, ntyp = 4
/
ATOMIC_SPECIES
Fe 55.84 Fe.upf
Tc 98.00 Tc.upf
W 183.84 W.upf
O 16.00 O.upf
ATOMIC_POSITIONS angstrom
Fe 0.0000 2.5075 0.0000
Fe 2.5075 0.0000 0.0000
Tc 0.0000 0.0000 2.3356
W 0.0000 0.0000 0.0000
O 2.5075 2.5075 2.3356
CELL_PARAMETERS angstrom
5.0151 0.0000 0.0000
0.0000 5.0151 0.0000
0.0000 0.0000 4.6711
! - symmetry = P4/mmm (123)
! - E (eV/atom) = -4.442